(1)
Computed, not measured: Li2Br3N2 after structural relaxation at the GGA-PBE level of DFT.

Computed properties:
* symmetry: P-1
* uncorrected energy: -29.690 eV for the cell shown

Cell: 4.4100 5.0725 23.1386 Å, 94.43 48.08 53.53°
With the nearest neighbours (Å) after each atom.
Fractional positions:
Li1 0.7384 0.6761 0.6048  4 Br 2.58-2.77
Li2 0.2616 0.3239 0.3952  4 Br 2.58-2.77
Br1 0.5000 0.0000 0.0000  2 N 2.27
Br2 0.1908 0.8436 0.3596  4 Li 2.58-2.77
Br3 0.8092 0.1564 0.6404  4 Li 2.58-2.77
N1 0.3669 0.5190 0.0365  1 N 1.14
N2 0.6331 0.4810 0.9635  1 N 1.14

(2)
Computed, not measured: Li6Br3N after structural relaxation at the GGA-PBE level of DFT.

Computed properties:
* symmetry: Ibca
* uncorrected energy: -284.351 eV for the cell shown

Cell: 11.4993 11.5970 14.0477 Å, 114.38 114.16 90.00°
With the nearest neighbours (Å) after each atom.
Fractional positions:
Li1 0.8758 0.3362 0.8839  1 N 1.96
Li2 0.5105 0.5504 0.3869  1 N 1.95
Li3 0.1414 0.4223 0.0712  1 N 1.97
Li4 0.4919 0.1638 0.1161  1 N 1.96
Li5 0.3764 0.0504 0.3869  1 N 1.95
Li6 0.0479 0.5150 0.3862  1 N 1.96
Li7 0.8332 0.8798 0.8935  1 N 1.95
Li8 0.9398 0.4863 0.1065  1 N 1.95
Li9 0.5479 0.8712 0.3862  1 N 1.96
Li10 0.6414 0.6488 0.0712  1 N 1.97
Li11 0.0602 0.5137 0.8935  1 N 1.95
Li12 0.4895 0.4496 0.6131  1 N 1.95
Li13 0.4172 0.6403 0.5639  1 N 1.96
Li14 0.3332 0.0137 0.8935  1 N 1.95
Li15 0.5703 0.0777 0.9288  1 N 1.97
Li16 0.1236 0.6635 0.6131  1 N 1.95
Li17 0.9919 0.9523 0.1161  1 N 1.96
Li18 0.9521 0.4850 0.6138  1 N 1.96
Li19 0.1668 0.1202 0.1065  1 N 1.95
Li20 0.5081 0.8362 0.8839  1 N 1.96
Li21 0.1242 0.6638 0.1161  1 N 1.96
Li22 0.1467 0.4236 0.5639  1 N 1.96
Li23 0.0828 0.0764 0.4361  1 N 1.96
Li24 0.3533 0.8597 0.4361  1 N 1.96
Li25 0.3383 0.3712 0.3862  1 N 1.96
Li26 0.8383 0.0150 0.3862  1 N 1.96
Li27 0.5828 0.3597 0.4361  1 N 1.96
Li28 0.3758 0.5477 0.8839  1 N 1.96
Li29 0.4521 0.1288 0.6138  1 N 1.96
Li30 0.0703 0.8512 0.9288  1 N 1.97
Li31 0.9297 0.1488 0.0712  1 N 1.97
Li32 0.8764 0.3365 0.3869  1 N 1.95
Li33 0.6236 0.9496 0.6131  1 N 1.95
Li34 0.6617 0.6288 0.6138  1 N 1.96
Li35 0.1617 0.9850 0.6138  1 N 1.96
Li36 0.9172 0.9236 0.5639  1 N 1.96
Li37 0.0081 0.0477 0.8839  1 N 1.96
Li38 0.8586 0.5777 0.9288  1 N 1.97
Li39 0.6668 0.9863 0.1065  1 N 1.95
Li40 0.3586 0.3512 0.9288  1 N 1.97
Li41 0.4297 0.9223 0.0712  1 N 1.97
Li42 0.0105 0.8365 0.3869  1 N 1.95
Li43 0.6242 0.4523 0.1161  1 N 1.96
Li44 0.8533 0.5764 0.4361  1 N 1.96
Li45 0.4398 0.6202 0.1065  1 N 1.95
Li46 0.6467 0.1403 0.5639  1 N 1.96
Li47 0.9895 0.1635 0.6131  1 N 1.95
Li48 0.5602 0.3798 0.8935  1 N 1.95
Br1 0.2776 0.2500 0.5000  6 Li 2.60-2.79
Br2 0.8855 0.6355 0.7710  6 Li 2.59-2.86
Br3 0.1402 0.3840 0.7451  5 Li 2.54-2.82
Br4 0.2500 0.7306 0.0000  6 Li 2.59-2.89
Br5 0.6050 0.8611 0.7451  5 Li 2.54-2.82
Br6 0.1366 0.8866 0.2732  6 Li 2.57-2.77
Br7 0.7776 0.2500 0.5000  6 Li 2.60-2.79
Br8 0.1050 0.8840 0.7451  5 Li 2.54-2.82
Br9 0.7500 0.2694 0.0000  6 Li 2.59-2.89
Br10 0.3950 0.1389 0.2549  5 Li 2.54-2.82
Br11 0.6366 0.3866 0.2732  6 Li 2.57-2.77
Br12 0.7500 0.7694 0.0000  6 Li 2.59-2.89
Br13 0.2224 0.7500 0.5000  6 Li 2.60-2.79
Br14 0.3855 0.1355 0.7710  6 Li 2.59-2.86
Br15 0.6145 0.8645 0.2290  6 Li 2.59-2.86
Br16 0.8634 0.1134 0.7268  6 Li 2.57-2.77
Br17 0.2500 0.2306 0.0000  6 Li 2.59-2.89
Br18 0.3598 0.6389 0.2549  5 Li 2.54-2.82
Br19 0.6402 0.3611 0.7451  5 Li 2.54-2.82
Br20 0.7224 0.7500 0.5000  6 Li 2.60-2.79
Br21 0.1145 0.3645 0.2290  6 Li 2.59-2.86
Br22 0.3634 0.6134 0.7268  6 Li 2.57-2.77
Br23 0.8598 0.6160 0.2549  5 Li 2.54-2.82
Br24 0.8950 0.1160 0.2549  5 Li 2.54-2.82
N1 0.0000 0.0000 0.5000  6 Li 1.95-1.96
N2 0.5000 0.0000 0.0000  6 Li 1.95-1.97
N3 0.0000 0.5000 0.0000  6 Li 1.95-1.97
N4 0.5000 0.0000 0.5000  6 Li 1.95-1.96
N5 0.0000 0.0000 0.0000  6 Li 1.95-1.97
N6 0.5000 0.5000 0.0000  6 Li 1.95-1.97
N7 0.5000 0.5000 0.5000  6 Li 1.95-1.96
N8 0.0000 0.5000 0.5000  6 Li 1.95-1.96

(3)
Computed, not measured: LiBr3N after structural relaxation at the GGA-PBE level of DFT.

Computed properties:
* symmetry: Pm-3m
* uncorrected energy: -13.294 eV for the cell shown

Cell: 4.7580 4.7580 4.7580 Å, 90.00 90.00 90.00°
With the nearest neighbours (Å) after each atom.
Fractional positions:
Li1 0.5000 0.5000 0.5000  12 Br 3.36
Br1 0.0000 0.5000 0.0000  2 N 2.38
Br2 0.0000 0.0000 0.5000  2 N 2.38
Br3 0.5000 0.0000 0.0000  2 N 2.38
N1 0.0000 0.0000 0.0000  6 Br 2.38

Looking at density of states at the Fermi level for the records above, in order, we have 4.36; 0.00; 1.50 states/eV/f.u..
Looking at formation energy without anion corrections for the records above, in order, we have -0.5991; -1.0717; 0.3928 eV per atom.